DFT (PBE) results for SrPaPO after structural relaxation.

Unit cell a=4.2961 b=7.9356 c=6.3833 alpha=90.00 beta=90.00 gamma=90.00
Space group Pmc2_1 (No. 26)
Unique sites:
Sr  0.0000  0.1934  0.0000 x2
Pa  0.5000  0.3869  0.5546 x2
P  0.0000  0.1827  0.4852 x2
O  0.5000  0.3500  0.9004 x2

Computed properties:
Polymorph energy (0 for the lowest one) (kJ/mol of formula units): 10
Calculated volume (Å³/atom): 27.202